RbScBSe4 | PBE | relaxed

Cell: 6.6415 5.8213 9.5831 Å, 90.00 104.40 90.00°
Last column: nearest neighbours and their distance in Å.
Sites, in units of the cell vectors:
Se 0.4419 0.7500 0.2037  1 B 2.02
Se 0.4035 0.7500 0.5548  1 B 2.05
Se 0.5581 0.2500 0.7963  1 B 2.02
Se 0.0121 0.9983 0.3031  1 B 2.13
Se 0.5965 0.2500 0.4452  1 B 2.05
Se 0.9879 0.0017 0.6969  1 B 2.13
Se 0.9879 0.4983 0.6969  1 B 2.13
Se 0.0121 0.5017 0.3031  1 B 2.13
Rb 0.7449 0.7500 0.9561  7 Se 3.38-3.66
Rb 0.2551 0.2500 0.0439  7 Se 3.38-3.66
B 0.2552 0.7500 0.3405  4 Se 2.02-2.13
B 0.7448 0.2500 0.6595  4 Se 2.02-2.13
Sc 0.7513 0.7500 0.4495  6 Se 2.71-2.90
Sc 0.2487 0.2500 0.5505  6 Se 2.71-2.90

Values from the calculation:
The calculated volume is 358.9 Å³ per cell. As for the total magnetization: 0.000 μB/atom. Its density of states at the Fermi level is 3.3 states/eV per cell. The theoretical density comes out at 4.23 g/cm³. The value obtained for the final energy is -4.883 eV per atom. The value obtained for the raw formation energy is -0.8954 eV/atom.